# 1
A geometry-optimized Ba2ZrW structure. Source: Alexandria, functional GGA-PBEsol.

Summary:
Calculated volume ... 430.9 Å³/cell
ΔE_f ... 1.185 eV per atom
VASP energy ... -0.4126 Ry/atom
N(E_F) ... 0.806 states/eV per atom
Total magnetization ... 0.0 μB per cell

Unit cell a=7.5532 b=7.5532 c=7.5532 alpha=90.00 beta=90.00 gamma=90.00
Closest atoms and distances in Å follow each position.
Space group F-43m (No. 216)
Inequivalent atoms, fractional coordinates:
Ba: 0.0000 0.0000 0.0000 x4  4 Ba 3.27, 4 W 3.27
Ba: 0.2500 0.2500 0.2500 x4  4 Zr 3.27, 4 Ba 3.27
Zr: 0.0000 0.0000 0.5000 x4  4 W 3.27, 4 Ba 3.27
W: 0.2500 0.2500 0.7500 x4  4 Zr 3.27, 4 Ba 3.27



# 2
A geometry-optimized Ba3Y structure. Source: Alexandria, functional GGA-PBEsol.

Summary:
Calculated volume ... 187.2 Å³/cell
ΔE_f ... 0.200 eV per atom
VASP energy ... -0.2291 Ry/atom
N(E_F) ... 1.509 states/eV per atom
Total magnetization ... 0.0 μB per cell

Unit cell a=4.0023 b=6.5547 c=7.1361 alpha=90.00 beta=90.00 gamma=90.00
Closest atoms and distances in Å follow each position.
Space group Pmm2 (No. 25)
Inequivalent atoms, fractional coordinates:
Ba: 0.0000 0.0000 0.0000 x1  8 Ba 3.96-4.22, 4 Y 4.03
Ba: 0.0000 0.5000 0.3325 x1  8 Ba 4.00-4.07, 4 Y 4.07-4.11
Ba: 0.5000 0.0000 0.5207 x1  2 Y 3.95, 10 Ba 3.96-4.22
Y: 0.5000 0.5000 0.8292 x1  10 Ba 3.95-4.11, 2 Y 4.00



# 3
A geometry-optimized BaYZn structure. Source: Alexandria, functional GGA-PBEsol.

Summary:
Calculated volume ... 188.8 Å³/cell
ΔE_f ... -0.083 eV per atom
VASP energy ... -0.2646 Ry/atom
N(E_F) ... 1.052 states/eV per atom
Total magnetization ... 0.0 μB per cell

Unit cell a=3.7639 b=3.7639 c=13.3248 alpha=90.00 beta=90.00 gamma=90.00
Closest atoms and distances in Å follow each position.
Space group I4mm (No. 107)
Inequivalent atoms, fractional coordinates:
Ba: 0.0000 0.0000 0.0000 x2  4 Zn 3.50, 1 Y 3.58, 4 Ba 3.76
Y: 0.0000 0.0000 0.7314 x2  4 Zn 2.96
Zn: 0.0000 0.0000 0.3292 x2  4 Y 2.96



# 4
A geometry-optimized BaY2Zn structure. Source: Alexandria, functional GGA-PBEsol.

Summary:
Calculated volume ... 117.9 Å³/cell
ΔE_f ... 0.202 eV per atom
VASP energy ... -0.3044 Ry/atom
N(E_F) ... 1.223 states/eV per atom
Total magnetization ... 0.0 μB per cell

Unit cell a=4.8599 b=4.8599 c=4.9935 alpha=90.00 beta=90.00 gamma=90.00
Closest atoms and distances in Å follow each position.
Space group P4/mmm (No. 123)
Inequivalent atoms, fractional coordinates:
Ba: 0.0000 0.0000 0.0000 x1  4 Zn 3.44, 8 Y 3.48
Y: 0.0000 0.5000 0.5000 x2  4 Y 3.44, 4 Ba 3.48, 4 Zn 3.48
Zn: 0.5000 0.5000 0.0000 x1  4 Ba 3.44, 8 Y 3.48



# 5
A geometry-optimized BaY2Zn structure. Source: Alexandria, functional GGA-PBEsol.

Summary:
Calculated volume ... 243.8 Å³/cell
ΔE_f ... 0.243 eV per atom
VASP energy ... -0.3014 Ry/atom
N(E_F) ... 1.377 states/eV per atom
Total magnetization ... 0.0 μB per cell

Unit cell a=6.7402 b=11.8220 c=3.5053 alpha=90.00 beta=119.21 gamma=90.00
Closest atoms and distances in Å follow each position.
Space group C2/m (No. 12)
Inequivalent atoms, fractional coordinates:
Ba: 0.0000 0.0000 0.0000 x2  4 Zn 3.37-3.48, 4 Y 3.43, 2 Ba 3.51
Y: 0.2500 0.2500 0.5000 x4  6 Y 3.37-3.51, 2 Ba 3.43, 2 Zn 3.43
Zn: 0.0000 0.5000 0.0000 x2  4 Ba 3.37-3.48, 4 Y 3.43, 2 Zn 3.51



# 6
A geometry-optimized BaYZr structure. Source: Alexandria, functional GGA-PBEsol.

Summary:
Calculated volume ... 94.2 Å³/cell
ΔE_f ... 0.341 eV per atom
VASP energy ... -0.4174 Ry/atom
N(E_F) ... 0.975 states/eV per atom
Total magnetization ... 0.0 μB per cell

Unit cell a=3.4973 b=3.4973 c=8.8961 alpha=90.00 beta=90.00 gamma=120.00
Closest atoms and distances in Å follow each position.
Space group P3m1 (No. 156)
Inequivalent atoms, fractional coordinates:
Ba: 0.0000 0.0000 0.0000 x1  6 Ba 3.50, 3 Zr 3.62
Y: 0.3333 0.6667 0.6172 x1  3 Zr 3.21, 6 Y 3.50
Zr: 0.6667 0.3333 0.3373 x1  3 Y 3.21, 6 Zr 3.50



# 7
A geometry-optimized BaY2Zr structure. Source: Alexandria, functional GGA-PBEsol.

Summary:
Calculated volume ... 246.7 Å³/cell
ΔE_f ... 0.404 eV per atom
VASP energy ... -0.4275 Ry/atom
N(E_F) ... 1.810 states/eV per atom
Total magnetization ... 0.0 μB per cell

Unit cell a=4.9744 b=4.9744 c=9.9712 alpha=90.00 beta=90.00 gamma=90.00
Closest atoms and distances in Å follow each position.
Space group I-4m2 (No. 119)
Inequivalent atoms, fractional coordinates:
Ba: 0.0000 0.0000 0.0000 x2  8 Y 3.52, 4 Zr 3.52
Y: 0.0000 0.0000 0.5000 x2  4 Ba 3.52, 4 Zr 3.52, 4 Y 3.52
Y: 0.0000 0.5000 0.2500 x2  4 Zr 3.52, 4 Ba 3.52, 4 Y 3.52
Zr: 0.0000 0.5000 0.7500 x2  8 Y 3.52, 4 Ba 3.52



# 8
A geometry-optimized BaZn5 structure. Source: Alexandria, functional GGA-PBEsol.

Summary:
Calculated volume ... 459.3 Å³/cell
ΔE_f ... -0.218 eV per atom
VASP energy ... -0.1392 Ry/atom
N(E_F) ... 0.412 states/eV per atom
Total magnetization ... 0.0 μB per cell

Unit cell a=10.6352 b=8.2246 c=5.2506 alpha=90.00 beta=90.00 gamma=90.00
Closest atoms and distances in Å follow each position.
Space group Cmcm (No. 63)
Inequivalent atoms, fractional coordinates:
Ba: 0.0000 0.1631 0.2500 x4  17 Zn 3.37-3.75, 2 Ba 3.75
Zn: 0.0000 0.4226 0.7500 x4  6 Zn 2.60-2.61
Zn: 0.1928 0.2273 0.7500 x8  5 Zn 2.54-2.60
Zn: 0.2036 0.5000 0.0000 x8  8 Zn 2.54-2.63



# 9
A geometry-optimized Ba2Zn structure. Source: Alexandria, functional GGA-PBEsol.

Summary:
Calculated volume ... 103.5 Å³/cell
ΔE_f ... 0.238 eV per atom
VASP energy ... -0.1266 Ry/atom
N(E_F) ... 1.770 states/eV per atom
Total magnetization ... 0.0 μB per cell

Unit cell a=5.7940 b=5.7940 c=3.5584 alpha=90.00 beta=90.00 gamma=120.00
Closest atoms and distances in Å follow each position.
Space group P6/mmm (No. 191)
Inequivalent atoms, fractional coordinates:
Ba: 0.3333 0.6667 0.0000 x2  5 Ba 3.35-3.56
Zn: 0.0000 0.0000 0.5000 x1  2 Zn 3.56, 12 Ba 3.79



# 10
A geometry-optimized Ba2Zn3 structure. Source: Alexandria, functional GGA-PBEsol.

Summary:
Calculated volume ... 475.1 Å³/cell
ΔE_f ... -0.057 eV per atom
VASP energy ... -0.1372 Ry/atom
N(E_F) ... 1.028 states/eV per atom
Total magnetization ... 0.0 μB per cell

Unit cell a=4.6358 b=4.6358 c=25.5282 alpha=90.00 beta=90.00 gamma=120.00
Closest atoms and distances in Å follow each position.
Space group R-3m (No. 166, hexagonal axes)
Inequivalent atoms, fractional coordinates:
Ba: 0.0000 0.0000 0.0825 x6  9 Zn 3.39-3.43
Zn: 0.0000 0.0000 0.3341 x6  3 Zn 2.68
Zn: 0.0000 0.0000 0.5000 x3  6 Ba 3.43



# 11
A geometry-optimized BaZn4 structure. Source: Alexandria, functional GGA-PBEsol.

Summary:
Calculated volume ... 210.7 Å³/cell
ΔE_f ... -0.151 eV per atom
VASP energy ... -0.1357 Ry/atom
N(E_F) ... 0.688 states/eV per atom
Total magnetization ... 0.0 μB per cell

Unit cell a=4.5307 b=4.5307 c=10.2627 alpha=90.00 beta=90.00 gamma=90.00
Closest atoms and distances in Å follow each position.
Space group I4/mmm (No. 139)
Inequivalent atoms, fractional coordinates:
Ba: 0.0000 0.0000 0.0000 x2  18 Zn 3.42-3.82
Zn: 0.0000 0.0000 0.3726 x4  5 Zn 2.59-2.61
Zn: 0.0000 0.5000 0.2500 x4  4 Zn 2.59



# 12
A geometry-optimized Ba2Zn structure. Source: Alexandria, functional GGA-PBEsol.

Summary:
Calculated volume ... 478.8 Å³/cell
ΔE_f ... -0.037 eV per atom
VASP energy ... -0.1467 Ry/atom
N(E_F) ... 1.281 states/eV per atom
Total magnetization ... 0.0 μB per cell

Unit cell a=4.0740 b=19.7033 c=5.9643 alpha=90.00 beta=90.00 gamma=90.00
Closest atoms and distances in Å follow each position.
Space group Cmcm (No. 63)
Inequivalent atoms, fractional coordinates:
Ba: 0.0000 0.0711 0.2500 x4  6 Zn 3.46-3.61
Ba: 0.0000 0.2055 0.7500 x4  2 Zn 3.34
Zn: 0.0000 0.4291 0.2500 x4  8 Ba 3.34-3.61